Computed, not measured: LiTi2TlBi after structural relaxation at the GGA-PBE level of DFT.

## Properties
energy = -20.882 eV for the cell shown
D(E_F) = 1.2749 states/eV/atom
calculated formation energy = 0.61 eV per atom
V = 21.0 Å³/atom

The structure in POSCAR format:
```
LiTi2TlBi
1.0
-0.2715 1.6233 -4.4593
4.2325 -1.7150 -0.8820
-1.9521 -4.1094 -1.3771
Tl Li Bi Ti
1 1 1 2
direct
0.5000 0.5000 0.5000 Tl
0.0000 0.0000 0.0000 Li
0.0000 0.5000 0.0000 Bi
0.0000 0.0000 0.5000 Ti
0.5000 0.0000 0.0000 Ti
```

=====

Computed, not measured: PaAu5 after structural relaxation at the GGA-PBE level of DFT.

## Properties
energy = -27.304 eV for the cell shown
D(E_F) = 0.6888 states/eV/atom
calculated formation energy = -0.24 eV per atom
V = 20.2 Å³/atom

The structure in POSCAR format:
```
PaAu5
1.0
-0.6939 -3.5984 -3.0153
2.7341 -0.6119 3.8358
-4.9801 -1.7695 3.2577
Pa Au
1 5
direct
0.3055 0.6110 0.1111 Pa
0.9721 0.9441 0.8868 Au
0.3057 0.6114 0.6111 Au
0.6390 0.2780 0.3354 Au
0.6389 0.2778 0.8157 Au
0.9722 0.9444 0.4065 Au
```

=====

Computed, not measured: Y3Sn after structural relaxation at the GGA-PBE level of DFT.

## Properties
energy = -25.002 eV for the cell shown
D(E_F) = 1.0428 states/eV/atom
calculated formation energy = -0.40 eV per atom
V = 28.7 Å³/atom

The structure in POSCAR format:
```
Y3Sn
1.0
6.2076 0.0022 0.0000
2.6907 5.5942 0.0000
-4.4491 -2.7982 3.3030
Y Sn
3 1
direct
0.7500 0.2500 0.5000 Y
0.2500 0.7500 0.5000 Y
0.5000 0.5000 0.0000 Y
0.0000 0.0000 0.0000 Sn
```

=====

Computed, not measured: PmEu2Cd after structural relaxation at the GGA-PBE level of DFT.

## Properties
energy = -26.436 eV for the cell shown
D(E_F) = 1.2504 states/eV/atom
relative energy among the computed polymorphs = 0.206 eV per formula unit
calculated formation energy = -0.06 eV per atom
V = 32.8 Å³/atom

The structure in POSCAR format:
```
PmEu2Cd
1.0
-1.9711 4.6038 1.1311
-1.8721 0.3497 -4.6857
-4.2787 -2.2114 1.5444
Eu Cd Pm
2 1 1
direct
0.0000 0.0000 0.5000 Eu
0.0000 0.5000 0.0000 Eu
0.5000 0.0000 0.0000 Cd
0.5000 0.5000 0.5000 Pm
```